## Ce2PmTmP4 (PBE-GGA)

Data for a relaxed structure of Ce2PmTmP4.

Calculated values
As for the space-group type: No. 10. The magnetization is 0.99 μB/f.u. The value obtained for the calculated total energy is -55.037 eV/cell.

abc: 4.0663 7.0282 7.0444
angles: 70.49 90.00 90.00
Last column: magnetic moment on the atom in μB.
Positions (direct):
P 0.5000 0.7470 0.2567  -0.01
Ce 0.5000 0.0000 0.5000  0.39
P 0.0000 0.7513 0.7438  -0.01
P 0.5000 0.2530 0.7433  -0.01
Pm 0.5000 0.5000 0.0000  0.01
Tm 0.0000 0.5000 0.5000  0.00
Ce 0.0000 0.0000 0.0000  0.51
P 0.0000 0.2487 0.2562  -0.01